BaS4I: optimized geometry, PBE-GGA.

## Properties
As for the space group: P-1. Its theoretical density is 2.90 g/cm³.

Lattice parameters (Å, degrees): 6.885 22.492 10.111 25.57 51.63 42.36
Atoms (fractional coordinates):
S (0.035, 0.777, 0.165)
S (0.855, 0.008, 0.481)
S (0.660, 0.445, 0.617)
S (0.667, 0.847, 0.081)
S (0.340, 0.555, 0.383)
S (0.333, 0.153, 0.919)
S (0.965, 0.223, 0.835)
S (0.145, 0.992, 0.519)
I (0.072, 0.670, 0.757)
I (0.928, 0.330, 0.243)
Ba (0.501, 0.252, 0.369)
Ba (0.499, 0.748, 0.631)

=====

BaS6I2: optimized geometry, PBE-GGA.

## Properties
As for the space group: P-1. Its theoretical density is 2.99 g/cm³.

Lattice parameters (Å, degrees): 10.856 7.736 13.875 59.51 20.35 54.00
Atoms (fractional coordinates):
I (0.959, 0.756, 0.313)
I (0.041, 0.244, 0.687)
S (0.737, 0.484, 0.174)
S (0.593, 0.695, 0.103)
S (0.407, 0.305, 0.897)
S (0.710, 0.002, 0.712)
S (0.290, 0.998, 0.288)
S (0.263, 0.516, 0.826)
Ba (0.000, 0.000, 0.000)

=====

BaSI: optimized geometry, PBE-GGA.

## Properties
As for the energy above the most stable polymorph in this dataset: 211.9 meV per atom. As for the space group: Pmma. Its theoretical density is 4.27 g/cm³.

Lattice parameters (Å, degrees): 4.366 8.611 6.136 90.00 89.99 90.00
Atoms (fractional coordinates):
Ba (0.421, 0.173, 0.908)
Ba (0.421, 0.673, 0.909)
S (0.921, 0.923, 0.767)
S (0.921, 0.423, 0.050)
I (0.921, 0.423, 0.544)
I (0.921, 0.923, 0.273)

=====

Ba4SI5: optimized geometry, PBE-GGA.

## Properties
As for the space group: C2/m. Its theoretical density is 4.22 g/cm³.

Lattice parameters (Å, degrees): 4.897 9.455 12.564 122.37 101.24 90.00
Atoms (fractional coordinates):
Ba (0.000, 0.227, 0.000)
Ba (0.657, 0.219, 0.314)
Ba (0.000, 0.773, 0.000)
Ba (0.343, 0.781, 0.686)
S (0.500, 0.000, 0.000)
I (0.500, 0.500, 0.000)
I (0.831, 0.498, 0.661)
I (0.169, 0.502, 0.339)
I (0.166, 0.978, 0.331)
I (0.834, 0.022, 0.669)

=====

Computed energy relative to the elements, uncorrected (meV per atom) in order:
-676; -491; -1367; -1720
Computed M_tot (μB/f.u.) in order:
0.00; 0.00; 0.00; 0.00